# DyY6Ho2, optimized geometry, DFT PBE
# N(E_F), states/eV per atom: 1.96
# Offset from the most stable computed form, meV/atom: 40
# Space-group type: C2/m, No. 12
# M_tot, μB per formula unit: 0.0
# ΔE_f, eV/atom: 0.11
# Total energy, eV/f.u.: -51.6
data_DyY6Ho2
_cell_length_a 3.510
_cell_length_b 8.712
_cell_length_c 10.058
_cell_angle_alpha 78.18
_cell_angle_beta 79.95
_cell_angle_gamma 78.38
_symmetry_space_group_name_H-M 'P 1'
_symmetry_Int_Tables_number 1
_symmetry_space_group_name_Hall 'P 1'
loop_
_atom_site_label
_atom_site_type_symbol
_atom_site_fract_x
_atom_site_fract_y
_atom_site_fract_z
Dy1 Dy 0.000 0.000 0.000
Y1 Y 0.771 0.347 0.111
Y2 Y 0.229 0.653 0.889
Y3 Y 0.386 0.672 0.556
Y4 Y 0.049 0.652 0.251
Y5 Y 0.951 0.348 0.749
Y6 Y 0.614 0.328 0.444
Ho1 Ho 0.329 0.019 0.323
Ho2 Ho 0.671 0.981 0.677